[1]
NiAgMo2 | Alexandria | PBE | relaxed; E_form = 0.457 eV/atom; calculated volume = 61.52 Å³ per cell; final energy = -28.5 eV/cell; ρ = 9.7 g/cm³
1.0
-4.923 0.835 0.131
-2.447 -2.547 -3.532
3.026 -0.699 3.913
Ag Mo Ni
1 2 1
Direct
0.744 0.244 0.500
0.248 0.748 0.500
0.022 0.022 0.000
0.486 0.486 0.000

[2]
LuMgCoNi | Alexandria | PBE | relaxed; E_form = -0.182 eV/atom; calculated volume = 63.34 Å³ per cell; final energy = -19.7 eV/cell; ρ = 8.3 g/cm³
1.0
4.474 0.000 0.000
2.237 3.875 0.000
2.237 1.292 3.653
Ni Mg Lu Co
1 1 1 1
Direct
0.750 0.750 0.750
0.500 0.500 0.500
0.000 0.000 0.000
0.250 0.250 0.250

[3]
DyIn5I8 | Alexandria | PBE | relaxed; calculated volume = 670.75 Å³ per cell; final energy = -40.7 eV/cell; raw formation energy = -711 meV per atom; ρ = 4.3 g/cm³
1.0
-2.606 2.552 -9.116
2.898 -9.308 1.172
-7.470 1.370 5.411
In I Dy
5 8 1
Direct
0.425 0.425 0.000
0.860 0.356 0.932
0.649 0.646 0.528
0.119 0.121 0.472
0.424 0.928 0.068
0.539 0.896 0.743
0.752 0.393 0.264
0.576 0.415 0.737
0.106 0.912 0.721
0.153 0.796 0.257
0.129 0.488 0.736
0.191 0.385 0.279
0.678 0.839 0.263
0.150 0.650 0.500

[4]
AlAg2Br | Alexandria | PBE | relaxed; calculated volume = 82.64 Å³ per cell; final energy = -10.9 eV/cell; raw formation energy = 67 meV per atom; ρ = 6.5 g/cm³
1.0
-1.374 -2.501 1.986
1.234 -2.412 -2.185
5.788 -0.311 3.612
Ag Br Al
2 1 1
Direct
0.000 0.000 0.043
0.000 0.000 0.457
0.500 0.500 0.750
0.500 0.500 0.250

[5]
BaSmY | Alexandria | PBE | relaxed; E_form = 0.173 eV/atom; calculated volume = 118.10 Å³ per cell; final energy = -12.6 eV/cell; ρ = 5.3 g/cm³
1.0
3.800 0.000 0.000
-1.900 3.291 0.000
0.000 0.000 9.443
Sm Ba Y
1 1 1
Direct
0.333 0.667 0.645
0.000 0.000 0.002
0.667 0.333 0.353

[6]
Al2Pt2Pb | Alexandria | PBE | relaxed; E_form = -0.584 eV/atom; calculated volume = 176.63 Å³ per cell; final energy = -52.4 eV/cell; ρ = 12.2 g/cm³
1.0
-2.799 -2.370 -6.887
7.219 -1.885 -2.285
-0.360 -2.674 1.067
Al Pt Pb
4 4 2
Direct
0.148 0.648 0.500
0.852 0.352 0.500
0.648 0.852 0.500
0.352 0.148 0.500
0.142 0.358 0.000
0.858 0.642 0.000
0.642 0.142 0.000
0.358 0.858 0.000
0.500 0.500 0.000
0.000 0.000 0.000

[7]
LiTaCd2P | Alexandria | PBE | relaxed; E_form = 1.572 eV/atom; calculated volume = 152.65 Å³ per cell; final energy = -13.1 eV/cell; ρ = 4.8 g/cm³
1.0
-4.427 0.955 -2.983
0.039 -4.927 -1.636
-3.132 -1.417 4.194
Ta Li Cd P
1 1 2 1
Direct
0.000 0.000 0.000
0.000 0.500 0.000
0.000 0.000 0.500
0.500 0.000 0.000
0.500 0.500 0.500

[8]
GeRuRh | Alexandria | PBE | relaxed; E_form = -0.166 eV/atom; calculated volume = 174.54 Å³ per cell; final energy = -87.0 eV/cell; ρ = 10.5 g/cm³
1.0
-2.601 0.113 2.985
1.550 -1.928 1.424
8.079 11.376 6.610
Rh Ge Ru
4 4 4
Direct
0.500 0.000 0.134
0.000 0.500 0.021
0.000 0.000 0.521
0.500 0.500 0.634
0.000 0.500 0.191
0.000 0.000 0.691
0.500 0.000 0.967
0.500 0.500 0.467
0.500 0.000 0.301
0.000 0.000 0.859
0.500 0.500 0.801
0.000 0.500 0.359

[9]
Tl4AsAu | Alexandria | PBE | relaxed; E_form = 0.402 eV/atom; calculated volume = 176.63 Å³ per cell; final energy = -15.0 eV/cell; ρ = 10.2 g/cm³
1.0
-4.802 -3.190 2.535
-4.524 -2.347 -3.700
-0.451 -6.222 -0.862
Tl Au As
4 1 1
Direct
0.375 0.375 0.375
0.874 0.375 0.375
0.375 0.874 0.375
0.375 0.375 0.874
0.000 0.000 0.000
0.750 0.750 0.750